1.
Computed, not measured: LiCaCl after structural relaxation at the GGA-PBE level of DFT.

a b c (Å): 3.8085 3.8085 6.2667
angles (deg): 90.00 90.00 120.00
With the nearest neighbours (Å) after each atom.
Positions (direct):
Cl 0.6667 0.3333 0.3593  3 Li 2.68, 3 Ca 2.99
Ca 0.0000 0.0000 0.0361  3 Cl 2.99
Li 0.3333 0.6667 0.6047  3 Cl 2.68

Final energy: -2.957 eV per atom
Space group: P3m1
Formation energy without anion corrections: -3.1 eV/f.u.
Energy above the lowest structure with this stoichiometry: 0.15 eV per formula unit
Fermi-level density of states: 0.328 states/eV per atom
M_tot: 0.0 μB per cell

2.
Computed, not measured: La5Pu2O12 after structural relaxation at the GGA-PBE level of DFT.

a b c (Å): 6.4845 7.3601 7.8530
angles (deg): 105.48 90.00 116.14
With the nearest neighbours (Å) after each atom.
Positions (direct):
La 0.3037 0.6073 0.1727  7 O 2.46-2.64
La 0.0000 0.0000 0.5000  6 O 2.43-2.55
La 0.6963 0.3927 0.8273  7 O 2.46-2.64
La 0.2992 0.5985 0.6344  7 O 2.42-2.63
La 0.7008 0.4015 0.3656  7 O 2.42-2.63
O 0.5020 0.0041 0.8140  2 Pu 2.21
O 0.9075 0.3131 0.5767  4 La 2.42-2.55
O 0.9990 0.9980 0.8084  2 Pu 2.19, 1 La 2.43
O 0.0010 0.0020 0.1916  2 Pu 2.19, 1 La 2.43
O 0.4341 0.3329 0.0844  1 Pu 2.11
O 0.8988 0.3329 0.0844  1 Pu 2.11
O 0.5659 0.6671 0.9156  1 Pu 2.11
O 0.0925 0.6869 0.4233  4 La 2.42-2.55
O 0.1012 0.6671 0.9156  1 Pu 2.11
O 0.4057 0.3131 0.5767  4 La 2.42-2.55
O 0.5943 0.6869 0.4233  4 La 2.42-2.55
O 0.4980 0.9959 0.1860  2 Pu 2.21
Pu 0.2454 0.0000 0.0000  6 O 2.11-2.21
Pu 0.7546 0.0000 0.0000  6 O 2.11-2.21

Final energy: -9.220 eV per atom
Space group: C2/m
Formation energy without anion corrections: -62.4 eV/f.u.
Fermi-level density of states: 0.565 states/eV per atom
M_tot: 7.0 μB per cell